1.
Computed, not measured: an optimized crystal structure of Cu7Ag3 at the PBE level of DFT.

Results
* symmetry: Pmmm

abc: 2.7181 3.7392 13.4857
angles: 90.00 90.00 90.00
Fractional coordinates of all 10 atoms:
Ag1 0.5000 0.5000 0.3014
Ag2 0.5000 0.5000 0.6986
Cu1 0.0000 0.0000 0.4079
Cu2 0.5000 0.5000 0.1040
Cu3 0.0000 0.0000 0.5921
Cu4 0.0000 0.0000 0.1968
Ag3 0.0000 0.0000 0.0000
Cu5 0.5000 0.5000 0.8960
Cu6 0.0000 0.0000 0.8032
Cu7 0.5000 0.5000 0.5000

***

2.
Computed, not measured: an optimized crystal structure of Mg5Co at the PBE level of DFT.

Results
* symmetry: P-62m

abc: 5.2401 5.2401 4.7641
angles: 90.00 90.00 60.00
Fractional coordinates of all 6 atoms:
Mg1 0.6667 0.6667 0.0000
Mg2 0.3120 0.6880 0.5000
Mg3 0.6880 0.0000 0.5000
Co1 0.0000 0.0000 0.0000
Mg4 0.0000 0.3120 0.5000
Mg5 0.3333 0.3333 0.0000

***

3.
Computed, not measured: an optimized crystal structure of ZrZn2FePd4 at the PBE level of DFT.

Results
* symmetry: P4/mmm

abc: 4.3223 4.3223 6.4917
angles: 90.00 90.00 90.00
Site moments in Bohr magnetons follow the coordinates.
Fractional coordinates of all 8 atoms:
Zn1 0.0000 0.0000 0.5000  -0.03
Zr1 0.5000 0.5000 0.5000  -0.11
Pd1 0.5000 0.0000 0.2313  0.00
Fe1 0.0000 0.0000 0.0000  2.92
Pd2 0.5000 0.0000 0.7687  0.00
Zn2 0.5000 0.5000 0.0000  -0.03
Pd3 0.0000 0.5000 0.7687  0.01
Pd4 0.0000 0.5000 0.2313  0.01

***

4.
Computed, not measured: an optimized crystal structure of Y2Er3Tm2Ni2Te2 at the PBE level of DFT.

Results
* symmetry: Imm2

abc: 9.2982 9.2982 9.2982
angles: 156.17 66.84 118.59
Fractional coordinates of all 11 atoms:
Te1 0.6382 0.1382 0.5000
Ni1 0.6673 0.4072 0.2601
Er1 0.2821 0.0974 0.1847
Tm1 0.2605 0.8939 0.3666
Ni2 0.1471 0.4072 0.7399
Er2 0.9128 0.0974 0.8153
Te2 0.2428 0.2428 0.0000
Er3 0.9775 0.4775 0.5000
Y1 0.5988 0.7453 0.8535
Tm2 0.5272 0.8939 0.6334
Y2 0.8918 0.7453 0.1465

***

How do the records compare in final energy? In the order shown, they have -3.361; -2.334; -5.462; -5.498 eV per atom.